Run w
A plane-wave DFT calculation with GGA-PBE was carried out for a geometry-optimized ZnRhCl2 structure.

Cell and atoms, written as CIF:
```
data_ZnRhCl2
_chemical_formula_sum 'Zn2 Rh2 Cl4'
_space_group_name_H-M_alt 'I m m m'
_space_group_IT_number 71
_space_group_name_Hall '-I 2 2'
_cell_length_a 3.287
_cell_length_b 4.101
_cell_length_c 13.459
_cell_angle_alpha 90.00
_cell_angle_beta 90.00
_cell_angle_gamma 90.00
loop_
_atom_site_label
_atom_site_type_symbol
_atom_site_fract_x
_atom_site_fract_y
_atom_site_fract_z
Zn1 Zn 0.000 0.000 0.000
Rh1 Rh 0.000 0.000 0.500
Cl1 Cl 0.000 0.500 0.138
```


Run x
A plane-wave DFT calculation with GGA-PBE was carried out for a geometry-optimized ZnRhCl2 structure.

Cell and atoms, written as CIF:
```
data_ZnRhCl2
_chemical_formula_sum 'Zn2 Rh2 Cl4'
_space_group_name_H-M_alt 'C 1 m 1'
_space_group_IT_number 8
_cell_length_a 7.769
_cell_length_b 3.553
_cell_length_c 6.988
_cell_angle_alpha 90.00
_cell_angle_beta 94.64
_cell_angle_gamma 90.00
loop_
_space_group_symop_operation_xyz
'x,y,z'
'x,-y,z'
'x+1/2,y+1/2,z'
'x+1/2,-y+1/2,z'
loop_
_atom_site_label
_atom_site_type_symbol
_atom_site_fract_x
_atom_site_fract_y
_atom_site_fract_z
Zn1 Zn 0.000 0.000 0.000
Rh1 Rh 0.223 0.500 0.140
Cl1 Cl 0.108 0.500 0.797
Cl2 Cl 0.307 0.000 0.345
```


Run y
A plane-wave DFT calculation with GGA-PBE was carried out for a geometry-optimized ZnRhCl2 structure.

Cell and atoms, written as CIF:
```
data_ZnRhCl2
_chemical_formula_sum 'Zn2 Rh2 Cl4'
_space_group_name_H-M_alt 'C m m m'
_space_group_IT_number 65
_space_group_name_Hall '-C 2 2'
_cell_length_a 6.290
_cell_length_b 6.298
_cell_length_c 3.426
_cell_angle_alpha 90.00
_cell_angle_beta 90.00
_cell_angle_gamma 90.00
loop_
_atom_site_label
_atom_site_type_symbol
_atom_site_fract_x
_atom_site_fract_y
_atom_site_fract_z
Zn1 Zn 0.000 0.000 0.000
Rh1 Rh 0.000 0.500 0.000
Cl1 Cl 0.250 0.250 0.500
```


Run z
A plane-wave DFT calculation with GGA-PBE was carried out for a geometry-optimized ZnRhCl2 structure.

Cell and atoms, written as CIF:
```
data_ZnRhCl2
_chemical_formula_sum 'Zn1 Rh1 Cl2'
_space_group_name_H-M_alt 'P m m m'
_space_group_IT_number 47
_cell_length_a 3.173
_cell_length_b 3.949
_cell_length_c 5.675
_cell_angle_alpha 90.00
_cell_angle_beta 90.00
_cell_angle_gamma 90.00
loop_
_space_group_symop_operation_xyz
'x,y,z'
'-x,-y,-z'
'-x,-y,z'
'x,y,-z'
'x,-y,-z'
'-x,y,z'
'-x,y,-z'
'x,-y,z'
loop_
_atom_site_label
_atom_site_type_symbol
_atom_site_fract_x
_atom_site_fract_y
_atom_site_fract_z
Zn1 Zn 0.000 0.000 0.000
Rh1 Rh 0.500 0.000 0.500
Cl1 Cl 0.000 0.500 0.500
Cl2 Cl 0.500 0.500 0.000
```


Name the least stable of them. run y.


Run w
A plane-wave DFT calculation with GGA-PBE was carried out for a geometry-optimized ZnRhCl2 structure.

Cell and atoms, written as CIF:
```
data_ZnRhCl2
_chemical_formula_sum 'Zn1 Rh1 Cl2'
_space_group_name_H-M_alt 'P 1 2/m 1'
_space_group_IT_number 10
_cell_length_a 5.071
_cell_length_b 3.511
_cell_length_c 5.980
_cell_angle_alpha 90.00
_cell_angle_beta 113.55
_cell_angle_gamma 90.00
loop_
_space_group_symop_operation_xyz
'x,y,z'
'-x,-y,-z'
'-x,y,-z'
'x,-y,z'
loop_
_atom_site_label
_atom_site_type_symbol
_atom_site_fract_x
_atom_site_fract_y
_atom_site_fract_z
Zn1 Zn 0.000 0.000 0.000
Rh1 Rh 0.500 0.000 0.000
Cl1 Cl 0.356 0.500 0.713
```


Run x
A plane-wave DFT calculation with GGA-PBE was carried out for a geometry-optimized ZnRhCl2 structure.

Cell and atoms, written as CIF:
```
data_ZnRhCl2
_chemical_formula_sum 'Zn2 Rh2 Cl4'
_space_group_name_H-M_alt 'C 1 2/m 1'
_space_group_IT_number 12
_cell_length_a 6.241
_cell_length_b 7.006
_cell_length_c 4.686
_cell_angle_alpha 90.00
_cell_angle_beta 131.61
_cell_angle_gamma 90.00
loop_
_space_group_symop_operation_xyz
'x,y,z'
'-x,-y,-z'
'-x,y,-z'
'x,-y,z'
'x+1/2,y+1/2,z'
'-x+1/2,-y+1/2,-z'
'-x+1/2,y+1/2,-z'
'x+1/2,-y+1/2,z'
loop_
_atom_site_label
_atom_site_type_symbol
_atom_site_fract_x
_atom_site_fract_y
_atom_site_fract_z
Zn1 Zn 0.000 0.000 0.000
Rh1 Rh 0.000 0.500 0.000
Cl1 Cl 0.250 0.250 0.500
```


Name the least stable of them. run x.


Run w
A plane-wave DFT calculation with GGA-PBE was carried out for a geometry-optimized ZnRh2Cl2 structure.

Cell and atoms, written as CIF:
```
data_ZnRh2Cl2
_chemical_formula_sum 'Zn2 Rh4 Cl4'
_space_group_name_H-M_alt 'P 4/m b m'
_space_group_IT_number 127
_space_group_name_Hall '-P 4 2ab'
_cell_length_a 6.569
_cell_length_b 6.569
_cell_length_c 4.459
_cell_angle_alpha 90.00
_cell_angle_beta 90.00
_cell_angle_gamma 90.00
loop_
_atom_site_label
_atom_site_type_symbol
_atom_site_fract_x
_atom_site_fract_y
_atom_site_fract_z
Zn1 Zn 0.000 0.000 0.000
Rh1 Rh 0.135 0.365 0.000
Cl1 Cl 0.198 0.302 0.500
```


Run x
A plane-wave DFT calculation with GGA-PBE was carried out for a geometry-optimized ZnRh2Cl2 structure.

Cell and atoms, written as CIF:
```
data_ZnRh2Cl2
_chemical_formula_sum 'Zn2 Rh4 Cl4'
_space_group_name_H-M_alt 'I 4/m m m'
_space_group_IT_number 139
_space_group_name_Hall '-I 4 2'
_cell_length_a 4.057
_cell_length_b 4.057
_cell_length_c 11.103
_cell_angle_alpha 90.00
_cell_angle_beta 90.00
_cell_angle_gamma 90.00
loop_
_atom_site_label
_atom_site_type_symbol
_atom_site_fract_x
_atom_site_fract_y
_atom_site_fract_z
Zn1 Zn 0.000 0.000 0.000
Rh1 Rh 0.000 0.000 0.391
Cl1 Cl 0.000 0.500 0.250
```


Name the least stable of them. run x.


Run w
A plane-wave DFT calculation with GGA-PBE was carried out for a geometry-optimized ZrRhCl2 structure.

Cell and atoms, written as CIF:
```
data_ZrRhCl2
_chemical_formula_sum 'Zr2 Rh2 Cl4'
_space_group_name_H-M_alt 'I m m m'
_space_group_IT_number 71
_space_group_name_Hall '-I 2 2'
_cell_length_a 3.309
_cell_length_b 4.304
_cell_length_c 14.156
_cell_angle_alpha 90.00
_cell_angle_beta 90.00
_cell_angle_gamma 90.00
loop_
_atom_site_label
_atom_site_type_symbol
_atom_site_fract_x
_atom_site_fract_y
_atom_site_fract_z
Zr1 Zr 0.000 0.000 0.000
Rh1 Rh 0.000 0.000 0.500
Cl1 Cl 0.000 0.500 0.357
```


Run x
A plane-wave DFT calculation with GGA-PBE was carried out for a geometry-optimized ZrRhCl2 structure.

Cell and atoms, written as CIF:
```
data_ZrRhCl2
_chemical_formula_sum 'Zr4 Rh4 Cl8'
_space_group_name_H-M_alt 'F m -3 m'
_space_group_IT_number 225
_space_group_name_Hall '-F 4 2 3'
_cell_length_a 6.427
_cell_length_b 6.427
_cell_length_c 6.427
_cell_angle_alpha 90.00
_cell_angle_beta 90.00
_cell_angle_gamma 90.00
loop_
_atom_site_label
_atom_site_type_symbol
_atom_site_fract_x
_atom_site_fract_y
_atom_site_fract_z
Zr1 Zr 0.000 0.000 0.000
Rh1 Rh 0.000 0.000 0.500
Cl1 Cl 0.250 0.250 0.250
```


Name the least stable of them. run x.


Run w
A plane-wave DFT calculation with GGA-PBE was carried out for a geometry-optimized ZrRhCl2 structure.

Cell and atoms, written as CIF:
```
data_ZrRhCl2
_chemical_formula_sum 'Zr1 Rh1 Cl2'
_space_group_name_H-M_alt 'P 1 2/m 1'
_space_group_IT_number 10
_cell_length_a 4.200
_cell_length_b 4.321
_cell_length_c 4.241
_cell_angle_alpha 90.00
_cell_angle_beta 91.04
_cell_angle_gamma 90.00
loop_
_space_group_symop_operation_xyz
'x,y,z'
'-x,-y,-z'
'-x,y,-z'
'x,-y,z'
loop_
_atom_site_label
_atom_site_type_symbol
_atom_site_fract_x
_atom_site_fract_y
_atom_site_fract_z
Zr1 Zr 0.000 0.000 0.000
Rh1 Rh 0.500 0.000 0.500
Cl1 Cl 0.246 0.500 0.754
```


Run x
A plane-wave DFT calculation with GGA-PBE was carried out for a geometry-optimized ZrRhCl2 structure.

Cell and atoms, written as CIF:
```
data_ZrRhCl2
_chemical_formula_sum 'Zr3 Rh3 Cl6'
_space_group_name_H-M_alt 'R -3 m'
_space_group_IT_number 166
_space_group_name_Hall '-R 3 2"'
_cell_length_a 3.1904
_cell_length_b 3.1904
_cell_length_c 25.0659
_cell_angle_alpha 90.00
_cell_angle_beta 90.00
_cell_angle_gamma 120.00
loop_
_atom_site_label
_atom_site_type_symbol
_atom_site_fract_x
_atom_site_fract_y
_atom_site_fract_z
Zr1 Zr 0.0000 0.0000 0.0000
Rh1 Rh 0.0000 0.0000 0.5000
Cl1 Cl 0.0000 0.0000 0.4076
```


Run y
A plane-wave DFT calculation with GGA-PBE was carried out for a geometry-optimized ZrRhCl2 structure.

Cell and atoms, written as CIF:
```
data_ZrRhCl2
_chemical_formula_sum 'Zr2 Rh2 Cl4'
_space_group_name_H-M_alt 'C 1 2/m 1'
_space_group_IT_number 12
_cell_length_a 5.876
_cell_length_b 8.651
_cell_length_c 4.167
_cell_angle_alpha 90.00
_cell_angle_beta 134.65
_cell_angle_gamma 90.00
loop_
_space_group_symop_operation_xyz
'x,y,z'
'-x,-y,-z'
'-x,y,-z'
'x,-y,z'
'x+1/2,y+1/2,z'
'-x+1/2,-y+1/2,-z'
'-x+1/2,y+1/2,-z'
'x+1/2,-y+1/2,z'
loop_
_atom_site_label
_atom_site_type_symbol
_atom_site_fract_x
_atom_site_fract_y
_atom_site_fract_z
Zr1 Zr 0.000 0.000 0.000
Rh1 Rh 0.000 0.500 0.000
Cl1 Cl 0.250 0.250 0.500
```


Name the least stable of them. run w.